Computed, not measured: crystalline BaCuAs at its relaxed geometry at the PBE level of DFT.

abc: 5.5139 5.5139 12.8385
angles: 90.00 90.00 120.00
Last column: nearest neighbours and their distance in Å.
Atoms (fractional coordinates):
Ba 0.0000 0.0000 0.2500  3 Cu 3.18, 2 As 3.21
Ba 0.0000 0.0000 0.7500  3 Cu 3.18, 2 As 3.21
Cu 0.3333 0.6667 0.2500  3 Ba 3.18
Cu 0.6667 0.3333 0.7500  3 Ba 3.18
As 0.0000 0.0000 0.0000  2 Ba 3.21
As 0.0000 0.0000 0.5000  2 Ba 3.21

ΔE_f   0.854 eV/atom
Volume   338 Å³ per cell
Space group   P6_3/mmc